No. 1
The following is a PBE calculation of a relaxed structure of Hf3TiTe, from Alexandria.

Output
Space group: C2/m (12)
Size of the total moment (μB per formula unit): 0.45
Formation energy (no corrections) (eV per atom): -0.03
Electronic total energy (eV/atom): -8.2056
Energy above the lowest structure with this stoichiometry (meV/atom): 0

Cell: 6.504 6.504 7.200 Å, 103.69 119.98 100.66°
Site moments in Bohr magnetons follow the coordinates.
Positions (direct):
Hf  0.785  0.986  0.175  0.03
Hf  0.719  0.421  0.141  -0.03
Hf  0.215  0.014  0.825  0.03
Hf  0.190  0.390  0.175  0.03
Hf  0.281  0.579  0.859  -0.03
Hf  0.810  0.610  0.825  0.03
Te  0.329  0.238  0.567  0.00
Te  0.671  0.762  0.433  0.00
Ti  0.717  0.076  0.792  0.33
Ti  0.283  0.924  0.208  0.33

***

No. 2
The following is a PBE calculation of a relaxed structure of Hf2TiTe, from Alexandria.

Output
Space group: P4/mmm (123)
Size of the total moment (μB per formula unit): 0.00
Formation energy (no corrections) (eV per atom): -0.26
Electronic total energy (eV/atom): -7.9955

Cell: 3.648 3.648 6.224 Å, 90.00 90.00 90.00°
Positions (direct):
Ti  0.500  0.500  0.500
Hf  0.000  0.000  0.256
Hf  0.000  0.000  0.744
Te  0.500  0.500  0.000

***

No. 3
The following is a PBE calculation of a relaxed structure of Hf2TiTe, from Alexandria.

Output
Space group: I-42d (122)
Size of the total moment (μB per formula unit): 0.00
Formation energy (no corrections) (eV per atom): 0.19
Electronic total energy (eV/atom): -7.5481

Cell: 4.161 4.161 10.733 Å, 78.82 78.82 90.00°
Positions (direct):
Hf  0.375  0.374  0.750
Hf  0.124  0.625  0.250
Hf  0.626  0.125  0.250
Hf  0.875  0.876  0.750
Te  0.750  0.250  0.500
Te  0.000  0.000  0.000
Ti  0.500  0.500  0.000
Ti  0.250  0.750  0.500

***

No. 4
The following is a PBE calculation of a relaxed structure of Hf3TiTe6, from Alexandria.

Output
Space group: R-3 (148)
Size of the total moment (μB per formula unit): 1.66
Formation energy (no corrections) (eV per atom): -0.53
Electronic total energy (eV/atom): -6.1937

Cell: 8.301 8.301 8.301 Å, 87.90 87.90 87.90°
Site moments in Bohr magnetons follow the coordinates.
Positions (direct):
Te  0.304  0.917  0.139  0.00
Te  0.534  0.403  0.178  -0.02
Te  0.861  0.696  0.083  0.00
Te  0.597  0.822  0.466  -0.02
Te  0.917  0.139  0.304  0.00
Te  0.822  0.466  0.597  -0.02
Te  0.466  0.597  0.822  -0.02
Te  0.178  0.534  0.403  -0.02
Te  0.139  0.304  0.917  0.00
Te  0.696  0.083  0.861  0.00
Te  0.083  0.861  0.696  0.00
Te  0.403  0.178  0.534  -0.02
Hf  0.801  0.400  0.932  0.07
Hf  0.068  0.199  0.600  0.07
Hf  0.199  0.600  0.068  0.07
Hf  0.400  0.932  0.801  0.07
Hf  0.600  0.068  0.199  0.07
Hf  0.932  0.801  0.400  0.07
Ti  0.500  0.500  0.500  1.19
Ti  0.000  0.000  0.000  0.99

***

No. 5
The following is a PBE calculation of a relaxed structure of Hf8TiTe2, from Alexandria.

Output
Space group: C2/m (12)
Size of the total moment (μB per formula unit): 0.00
Formation energy (no corrections) (eV per atom): -0.04
Electronic total energy (eV/atom): -8.5704

Cell: 5.259 7.577 7.577 Å, 118.69 99.91 99.91°
Positions (direct):
Te  0.000  0.695  0.305
Te  0.000  0.305  0.695
Hf  0.500  0.783  0.217
Hf  0.867  0.908  0.691
Hf  0.500  0.217  0.783
Hf  0.133  0.309  0.092
Hf  0.133  0.092  0.309
Hf  0.676  0.382  0.382
Hf  0.324  0.618  0.618
Hf  0.867  0.691  0.908
Ti  0.500  0.000  0.000

***

No. 6
The following is a PBE calculation of a relaxed structure of Hf2TiTe, from Alexandria.

Output
Space group: R3m (160)
Size of the total moment (μB per formula unit): 0.00
Formation energy (no corrections) (eV per atom): -0.07
Electronic total energy (eV/atom): -7.8094

Cell: 3.402 3.402 9.059 Å, 79.18 79.18 60.00°
Positions (direct):
Hf  0.083  0.083  0.750
Hf  0.250  0.250  0.250
Te  0.667  0.667  0.998
Ti  0.499  0.499  0.502

***

No. 7
The following is a PBE calculation of a relaxed structure of Hf3Ti5Te2, from Alexandria.

Output
Space group: Ibam (72)
Size of the total moment (μB per formula unit): 0.00
Formation energy (no corrections) (eV per atom): -0.07
Electronic total energy (eV/atom): -7.6279

Cell: 5.521 9.394 9.394 Å, 67.61 72.91 72.91°
Positions (direct):
Te  0.399  0.895  0.307
Te  0.899  0.307  0.895
Te  0.101  0.693  0.105
Te  0.601  0.105  0.693
Ti  0.554  0.196  0.196
Ti  0.343  0.708  0.606
Ti  0.446  0.804  0.804
Ti  0.157  0.394  0.292
Ti  0.054  0.196  0.196
Ti  0.750  0.500  0.500
Ti  0.843  0.606  0.708
Ti  0.250  0.500  0.500
Ti  0.946  0.804  0.804
Ti  0.657  0.292  0.394
Hf  0.686  0.537  0.091
Hf  0.186  0.091  0.537
Hf  0.814  0.909  0.463
Hf  0.250  0.000  0.000
Hf  0.314  0.463  0.909
Hf  0.750  0.000  0.000

***

No. 8
The following is a PBE calculation of a relaxed structure of HfTiTe3, from Alexandria.

Output
Space group: Pm-3m (221)
Size of the total moment (μB per formula unit): 1.50
Formation energy (no corrections) (eV per atom): 0.29
Electronic total energy (eV/atom): -5.1617
Energy above the lowest structure with this stoichiometry (meV/atom): 1037

Cell: 5.263 5.263 5.263 Å, 90.00 90.00 90.00°
Site moments in Bohr magnetons follow the coordinates.
Positions (direct):
Ti  0.000  0.000  0.000  0.42
Te  0.000  0.500  0.000  -0.06
Te  0.500  0.000  0.000  -0.06
Te  0.000  0.000  0.500  -0.04
Hf  0.500  0.500  0.500  0.74

***

No. 9
The following is a PBE calculation of a relaxed structure of Hf2TiTe4, from Alexandria.

Output
Space group: C2/m (12)
Size of the total moment (μB per formula unit): 1.00
Formation energy (no corrections) (eV per atom): -0.74
Electronic total energy (eV/atom): -6.5081

Cell: 3.861 7.081 7.834 Å, 117.73 104.27 90.00°
Site moments in Bohr magnetons follow the coordinates.
Positions (direct):
Ti  0.000  0.000  0.000  0.82
Te  0.103  0.764  0.206  -0.01
Te  0.369  0.698  0.739  -0.01
Te  0.631  0.302  0.261  -0.01
Te  0.897  0.236  0.794  -0.01
Hf  0.250  0.206  0.501  0.01
Hf  0.750  0.794  0.499  0.01

***

No. 10
The following is a PBE calculation of a relaxed structure of Hf5Ti2Te4, from Alexandria.

Output
Space group: C2/m (12)
Size of the total moment (μB per formula unit): 0.00
Formation energy (no corrections) (eV per atom): -0.20
Electronic total energy (eV/atom): -7.3015

Cell: 3.438 8.034 9.907 Å, 109.10 99.99 90.00°
Positions (direct):
Ti  0.420  0.477  0.839
Ti  0.580  0.523  0.161
Hf  0.165  0.938  0.331
Hf  0.500  0.000  0.000
Hf  0.129  0.279  0.258
Hf  0.835  0.062  0.669
Hf  0.871  0.721  0.742
Te  0.277  0.281  0.555
Te  0.723  0.719  0.445
Te  0.019  0.716  0.038
Te  0.981  0.284  0.962

***

No. 11
The following is a PBE calculation of a relaxed structure of Hf3TiTl3Te8, from Alexandria.

Output
Space group: C2/m (12)
Size of the total moment (μB per formula unit): 1.17
Formation energy (no corrections) (eV per atom): -0.62
Electronic total energy (eV/atom): -5.2828

Cell: 8.025 8.018 9.830 Å, 113.99 90.01 120.02°
Site moments in Bohr magnetons follow the coordinates.
Positions (direct):
Te  0.770  0.540  0.301  -0.01
Te  0.266  0.532  0.298  0.00
Te  0.738  0.968  0.699  -0.01
Te  0.734  0.468  0.702  0.00
Te  0.770  0.032  0.301  -0.01
Te  0.262  0.032  0.301  -0.01
Te  0.230  0.968  0.699  -0.01
Te  0.230  0.460  0.699  -0.01
Ti  0.000  0.000  0.500  0.83
Tl  0.000  0.500  0.000  0.01
Tl  0.000  0.000  0.000  0.01
Tl  0.500  0.500  0.000  0.01
Hf  0.500  0.500  0.500  0.03
Hf  0.500  0.000  0.500  0.02
Hf  0.000  0.500  0.500  0.02

***

No. 12
The following is a PBE calculation of a relaxed structure of HfTi2Tl3Te6, from Alexandria.

Output
Space group: C2/m (12)
Size of the total moment (μB per formula unit): 2.97
Formation energy (no corrections) (eV per atom): -0.54
Electronic total energy (eV/atom): -4.8490

Cell: 7.107 7.107 8.632 Å, 97.86 97.86 120.29°
Site moments in Bohr magnetons follow the coordinates.
Positions (direct):
Ti  0.319  0.681  0.000  1.11
Ti  0.681  0.319  0.000  1.11
Hf  0.000  0.000  0.000  0.21
Tl  0.843  0.157  0.500  0.00
Tl  0.157  0.843  0.500  0.00
Tl  0.500  0.500  0.500  0.01
Te  0.072  0.406  0.204  -0.04
Te  0.594  0.928  0.796  -0.04
Te  0.281  0.281  0.813  -0.03
Te  0.719  0.719  0.187  -0.03
Te  0.928  0.594  0.796  -0.04
Te  0.406  0.072  0.204  -0.04

***

Question: The highest electronic total energy belongs to which entry?
Answer: HfTi2Tl3Te6

***

Question: The lowest electronic total energy belongs to which entry?
Answer: Hf8TiTe2